The following is a PBE calculation of Al2TlSb2 after structural relaxation, from Alexandria via LeMat-Bulk.

The structure in CIF format:
```
data_Al2TlSb2
_chemical_formula_sum 'Al2 Tl1 Sb2'
_space_group_name_H-M_alt 'P 1'
_space_group_IT_number 1
_cell_length_a 6.2437
_cell_length_b 6.2437
_cell_length_c 6.2437
_cell_angle_alpha 131.08
_cell_angle_beta 131.08
_cell_angle_gamma 71.69
loop_
_space_group_symop_operation_xyz
'x,y,z'
loop_
_atom_site_label
_atom_site_type_symbol
_atom_site_fract_x
_atom_site_fract_y
_atom_site_fract_z
_atom_site_occupancy
Al1 Al 0.1284 0.1284 0.0000 1
Al2 Al 0.8716 0.8716 0.0000 1
Tl1 Tl 0.5000 0.5000 0.0000 1
Sb1 Sb 0.2500 0.7500 0.5000 1
Sb2 Sb 0.7500 0.2500 0.5000 1
```

Space-group type   I4/mmm, No. 139
ΔE_f (raw)   0.06 eV per atom
Calculated density   6.2 g/cm³

The following is a PBE calculation of AlTlSb2 after structural relaxation, from Alexandria via LeMat-Bulk.

The structure in CIF format:
```
data_AlTlSb2
_chemical_formula_sum 'Al1 Tl1 Sb2'
_space_group_name_H-M_alt 'P 1'
_space_group_IT_number 1
_cell_length_a 5.9937
_cell_length_b 5.9937
_cell_length_c 3.2626
_cell_angle_alpha 91.05
_cell_angle_beta 91.05
_cell_angle_gamma 113.83
loop_
_space_group_symop_operation_xyz
'x,y,z'
loop_
_atom_site_label
_atom_site_type_symbol
_atom_site_fract_x
_atom_site_fract_y
_atom_site_fract_z
_atom_site_occupancy
Al1 Al 0.0000 0.0000 0.0000 1
Tl1 Tl 0.5000 0.5000 0.0000 1
Sb1 Sb 0.0000 0.5000 0.5000 1
Sb2 Sb 0.5000 0.0000 0.5000 1
```

Space-group type   C2/m, No. 12
ΔE_f (raw)   0.23 eV per atom
Calculated density   7.4 g/cm³

The following is a PBE calculation of Al2TlSb after structural relaxation, from Alexandria via LeMat-Bulk.

The structure in CIF format:
```
data_Al2TlSb
_chemical_formula_sum 'Al2 Tl1 Sb1'
_space_group_name_H-M_alt 'P 1'
_space_group_IT_number 1
_cell_length_a 10.6633
_cell_length_b 10.6633
_cell_length_c 10.6633
_cell_angle_alpha 17.54
_cell_angle_beta 17.54
_cell_angle_gamma 17.54
loop_
_space_group_symop_operation_xyz
'x,y,z'
loop_
_atom_site_label
_atom_site_type_symbol
_atom_site_fract_x
_atom_site_fract_y
_atom_site_fract_z
_atom_site_occupancy
Al1 Al 0.2464 0.2464 0.2464 1
Al2 Al 0.7536 0.7536 0.7536 1
Tl1 Tl 0.0000 0.0000 0.0000 1
Sb1 Sb 0.5000 0.5000 0.5000 1
```

Space-group type   R-3m, No. 166
ΔE_f (raw)   0.26 eV per atom
Calculated density   6.6 g/cm³

The following is a PBE calculation of AlTlSb2 after structural relaxation, from Alexandria via LeMat-Bulk.

The structure in CIF format:
```
data_AlTlSb2
_chemical_formula_sum 'Al1 Tl1 Sb2'
_space_group_name_H-M_alt 'P 1'
_space_group_IT_number 1
_cell_length_a 3.5034
_cell_length_b 3.7925
_cell_length_c 8.0363
_cell_angle_alpha 90.00
_cell_angle_beta 90.00
_cell_angle_gamma 90.00
loop_
_space_group_symop_operation_xyz
'x,y,z'
loop_
_atom_site_label
_atom_site_type_symbol
_atom_site_fract_x
_atom_site_fract_y
_atom_site_fract_z
_atom_site_occupancy
Al1 Al 0.0000 0.0000 0.0000 1
Tl1 Tl 0.0000 0.0000 0.5000 1
Sb1 Sb 0.5000 0.5000 0.1961 1
Sb2 Sb 0.5000 0.5000 0.8039 1
```

Space-group type   Pmmm, No. 47
ΔE_f (raw)   0.12 eV per atom
Calculated density   7.4 g/cm³

The following is a PBE calculation of AlTlSb3 after structural relaxation, from Alexandria via LeMat-Bulk.

The structure in CIF format:
```
data_AlTlSb3
_chemical_formula_sum 'Al1 Tl1 Sb3'
_space_group_name_H-M_alt 'P 1'
_space_group_IT_number 1
_cell_length_a 5.3850
_cell_length_b 5.3850
_cell_length_c 5.3850
_cell_angle_alpha 90.00
_cell_angle_beta 90.00
_cell_angle_gamma 90.00
loop_
_space_group_symop_operation_xyz
'x,y,z'
loop_
_atom_site_label
_atom_site_type_symbol
_atom_site_fract_x
_atom_site_fract_y
_atom_site_fract_z
_atom_site_occupancy
Al1 Al 0.0000 0.0000 0.0000 1
Tl1 Tl 0.5000 0.5000 0.5000 1
Sb1 Sb 0.0000 0.0000 0.5000 1
Sb2 Sb 0.0000 0.5000 0.0000 1
Sb3 Sb 0.5000 0.0000 0.0000 1
```

Space-group type   Pm-3m, No. 221
ΔE_f (raw)   0.36 eV per atom
Calculated density   6.3 g/cm³

The following is a PBE calculation of Al2TlSb after structural relaxation, from Alexandria via LeMat-Bulk.

The structure in CIF format:
```
data_Al2TlSb
_chemical_formula_sum 'Al2 Tl1 Sb1'
_space_group_name_H-M_alt 'P 1'
_space_group_IT_number 1
_cell_length_a 3.2422
_cell_length_b 4.6453
_cell_length_c 6.5013
_cell_angle_alpha 90.00
_cell_angle_beta 93.09
_cell_angle_gamma 90.00
loop_
_space_group_symop_operation_xyz
'x,y,z'
loop_
_atom_site_label
_atom_site_type_symbol
_atom_site_fract_x
_atom_site_fract_y
_atom_site_fract_z
_atom_site_occupancy
Al1 Al 0.0170 0.0000 0.2268 1
Al2 Al 0.9830 0.0000 0.7732 1
Tl1 Tl 0.5000 0.5000 0.0000 1
Sb1 Sb 0.0000 0.5000 0.5000 1
```

Space-group type   P2/m, No. 10
ΔE_f (raw)   0.24 eV per atom
Calculated density   6.5 g/cm³

The following is a PBE calculation of Al2TlSb after structural relaxation, from Alexandria via LeMat-Bulk.

The structure in CIF format:
```
data_Al2TlSb
_chemical_formula_sum 'Al2 Tl1 Sb1'
_space_group_name_H-M_alt 'P 1'
_space_group_IT_number 1
_cell_length_a 3.1223
_cell_length_b 3.1223
_cell_length_c 9.8484
_cell_angle_alpha 90.00
_cell_angle_beta 90.00
_cell_angle_gamma 90.00
loop_
_space_group_symop_operation_xyz
'x,y,z'
loop_
_atom_site_label
_atom_site_type_symbol
_atom_site_fract_x
_atom_site_fract_y
_atom_site_fract_z
_atom_site_occupancy
Al1 Al 0.0000 0.0000 0.0000 1
Al2 Al 0.5000 0.5000 0.1904 1
Tl1 Tl 0.5000 0.5000 0.7348 1
Sb1 Sb 0.0000 0.0000 0.4118 1
```

Space-group type   P4mm, No. 99
ΔE_f (raw)   0.19 eV per atom
Calculated density   6.6 g/cm³

The following is a PBE calculation of AlTlSb2 after structural relaxation, from Alexandria via LeMat-Bulk.

The structure in CIF format:
```
data_AlTlSb2
_chemical_formula_sum 'Al1 Tl1 Sb2'
_space_group_name_H-M_alt 'P 1'
_space_group_IT_number 1
_cell_length_a 3.9299
_cell_length_b 3.9299
_cell_length_c 8.6533
_cell_angle_alpha 103.00
_cell_angle_beta 103.00
_cell_angle_gamma 60.12
loop_
_space_group_symop_operation_xyz
'x,y,z'
loop_
_atom_site_label
_atom_site_type_symbol
_atom_site_fract_x
_atom_site_fract_y
_atom_site_fract_z
_atom_site_occupancy
Al1 Al 0.0000 0.0000 0.0000 1
Tl1 Tl 0.1671 0.1671 0.5014 1
Sb1 Sb 0.4007 0.4007 0.2010 1
Sb2 Sb 0.5997 0.5997 0.7999 1
```

Space-group type   Cm, No. 8
ΔE_f (raw)   0.07 eV per atom
Calculated density   7.0 g/cm³

The following is a PBE calculation of AlTlSb2 after structural relaxation, from Alexandria via LeMat-Bulk.

The structure in CIF format:
```
data_AlTlSb2
_chemical_formula_sum 'Al1 Tl1 Sb2'
_space_group_name_H-M_alt 'P 1'
_space_group_IT_number 1
_cell_length_a 3.2247
_cell_length_b 3.2247
_cell_length_c 10.2325
_cell_angle_alpha 90.00
_cell_angle_beta 90.00
_cell_angle_gamma 90.00
loop_
_space_group_symop_operation_xyz
'x,y,z'
loop_
_atom_site_label
_atom_site_type_symbol
_atom_site_fract_x
_atom_site_fract_y
_atom_site_fract_z
_atom_site_occupancy
Al1 Al 0.0000 0.0000 0.0000 1
Tl1 Tl 0.5000 0.5000 0.7636 1
Sb1 Sb 0.0000 0.0000 0.4993 1
Sb2 Sb 0.5000 0.5000 0.2047 1
```

Space-group type   P4mm, No. 99
ΔE_f (raw)   0.23 eV per atom
Calculated density   7.4 g/cm³

The following is a PBE calculation of Al2Tl2Sb3 after structural relaxation, from Alexandria via LeMat-Bulk.

The structure in CIF format:
```
data_Al2Tl2Sb3
_chemical_formula_sum 'Al4 Tl4 Sb6'
_space_group_name_H-M_alt 'P 1'
_space_group_IT_number 1
_cell_length_a 9.5429
_cell_length_b 9.5429
_cell_length_c 12.8585
_cell_angle_alpha 124.46
_cell_angle_beta 124.46
_cell_angle_gamma 26.84
loop_
_space_group_symop_operation_xyz
'x,y,z'
loop_
_atom_site_label
_atom_site_type_symbol
_atom_site_fract_x
_atom_site_fract_y
_atom_site_fract_z
_atom_site_occupancy
Al1 Al 0.0151 0.0151 0.2865 1
Al2 Al 0.4160 0.4160 0.3546 1
Al3 Al 0.5840 0.5840 0.6454 1
Al4 Al 0.9849 0.9849 0.7135 1
Tl1 Tl 0.2723 0.2723 0.6651 1
Tl2 Tl 0.3940 0.3940 0.0333 1
Tl3 Tl 0.6060 0.6060 0.9667 1
Tl4 Tl 0.7277 0.7277 0.3349 1
Sb1 Sb 0.0758 0.0758 0.1341 1
Sb2 Sb 0.1601 0.1601 0.7986 1
Sb3 Sb 0.4044 0.4044 0.5586 1
Sb4 Sb 0.5956 0.5956 0.4414 1
Sb5 Sb 0.8399 0.8399 0.2014 1
Sb6 Sb 0.9242 0.9242 0.8659 1
```

Space-group type   C2/m, No. 12
ΔE_f (raw)   -0.02 eV per atom
Calculated density   6.4 g/cm³

The following is a PBE calculation of Al2TlSb after structural relaxation, from Alexandria via LeMat-Bulk.

The structure in CIF format:
```
data_Al2TlSb
_chemical_formula_sum 'Al2 Tl1 Sb1'
_space_group_name_H-M_alt 'P 1'
_space_group_IT_number 1
_cell_length_a 3.1719
_cell_length_b 3.1719
_cell_length_c 9.8054
_cell_angle_alpha 90.00
_cell_angle_beta 90.00
_cell_angle_gamma 103.85
loop_
_space_group_symop_operation_xyz
'x,y,z'
loop_
_atom_site_label
_atom_site_type_symbol
_atom_site_fract_x
_atom_site_fract_y
_atom_site_fract_z
_atom_site_occupancy
Al1 Al 0.0000 0.0000 0.2413 1
Al2 Al 0.0000 0.0000 0.7587 1
Tl1 Tl 0.5000 0.5000 0.5000 1
Sb1 Sb 0.5000 0.5000 0.0000 1
```

Space-group type   Cmmm, No. 65
ΔE_f (raw)   0.27 eV per atom
Calculated density   6.6 g/cm³

The following is a PBE calculation of Al2TlSb after structural relaxation, from Alexandria via LeMat-Bulk.

The structure in CIF format:
```
data_Al2TlSb
_chemical_formula_sum 'Al2 Tl1 Sb1'
_space_group_name_H-M_alt 'P 1'
_space_group_IT_number 1
_cell_length_a 3.6121
_cell_length_b 3.6121
_cell_length_c 7.7045
_cell_angle_alpha 90.00
_cell_angle_beta 90.00
_cell_angle_gamma 90.00
loop_
_space_group_symop_operation_xyz
'x,y,z'
loop_
_atom_site_label
_atom_site_type_symbol
_atom_site_fract_x
_atom_site_fract_y
_atom_site_fract_z
_atom_site_occupancy
Al1 Al 0.0000 0.0000 0.0000 1
Al2 Al 0.5000 0.5000 0.1727 1
Tl1 Tl 0.5000 0.5000 0.7421 1
Sb1 Sb 0.0000 0.0000 0.3665 1
```

Space-group type   P4mm, No. 99
ΔE_f (raw)   0.15 eV per atom
Calculated density   6.3 g/cm³

- Which of these has the lowest calculated density?
  Al2TlSb2